1.
Density functional theory data (PBE-GGA) for an optimized crystal structure of Cs2CaBrCl3.

Crystal system: orthorhombic
Formation energy from raw total energies, eV per atom: -2.12

Unit cell a=9.5756 b=9.5756 c=9.5756 alpha=146.84 beta=145.20 gamma=48.83
Element x y z (fractional)
Cs 0.1457 0.1457 0.0000
Cs 0.8543 0.8543 0.0000
Ca 0.5000 0.5000 0.0000
Br 0.0000 0.5000 0.5000
Cl 0.3432 0.3432 0.0000
Cl 0.5000 0.0000 0.5000
Cl 0.6568 0.6568 0.0000

***

2.
Density functional theory data (PBE-GGA) for an optimized crystal structure of K2NaCu2.

Crystal system: tetragonal
E above lowest polymorph, eV per atom: 0.141
Energy of formation, eV per formula unit: 2.27

Unit cell a=7.6323 b=7.6323 c=7.6323 alpha=140.54 beta=140.54 gamma=57.03
Element x y z (fractional)
K 0.2500 0.7500 0.5000
K 0.7500 0.2500 0.5000
Na 0.0000 0.0000 0.0000
Cu 0.4112 0.4112 0.0000
Cu 0.5888 0.5888 0.0000

***

Number 1: E -25.730 eV for the cell shown. Number 2: E -9.432 eV for the cell shown.